1.
Computed, not measured: crystalline K3Li4 at its relaxed geometry at the GGA-PBEsol level of DFT.

Structure (extended XYZ):
```
7
Lattice="-3.775 2.137 4.687 1.403 -6.103 3.912 4.311 5.946 0.762" Properties=species:S:1:pos:R:3 pbc="T T T"
K 2.156 2.973 0.381
K 0.702 -3.052 1.956
K 2.857 -0.078 2.337
Li -2.786 1.577 3.459
Li -0.989 0.560 1.228
Li 1.454 2.998 4.156
Li 0.485 -1.018 5.206
```

Computed properties:
The value obtained for the formation energy is 0.295 eV/atom. Its space-group type is P6/mmm (191). Its density of states at the Fermi level is 0.633 states/eV/atom.

=====

2.
Computed, not measured: crystalline KLi3 at its relaxed geometry at the GGA-PBEsol level of DFT.

Structure (extended XYZ):
```
4
Lattice="3.480 0.000 0.000 0.000 6.190 -0.074 0.000 -2.253 5.766" Properties=species:S:1:pos:R:3 pbc="T T T"
K 0.000 0.000 0.000
Li 1.740 -1.127 2.883
Li 1.740 3.095 -0.037
Li 0.000 1.969 2.846
```

Computed properties:
The value obtained for the formation energy is 0.177 eV/atom. Its space-group type is Cmmm (65). Its density of states at the Fermi level is 0.547 states/eV/atom.

=====

3.
Computed, not measured: crystalline K8Li at its relaxed geometry at the GGA-PBEsol level of DFT.

Structure (extended XYZ):
```
9
Lattice="-4.786 4.195 0.451 -7.165 -3.952 5.849 1.732 5.979 7.901" Properties=species:S:1:pos:R:3 pbc="T T T"
K -1.098 3.316 2.636
K -1.956 6.857 5.717
K -4.995 3.494 4.750
K -3.891 0.198 1.991
K -1.144 2.768 7.238
K -8.060 0.045 4.309
K -5.224 2.727 9.451
K -4.289 -0.742 6.513
Li 0.000 0.000 0.000
```

Computed properties:
The value obtained for the formation energy is 0.048 eV/atom. Its space-group type is I4/mmm (139). Its density of states at the Fermi level is 0.714 states/eV/atom.

=====

4.
Computed, not measured: crystalline KLiLu2Mo4O16 at its relaxed geometry at the GGA-PBEsol level of DFT.

Structure (extended XYZ):
```
48
Lattice="5.088 0.000 0.029 2.544 6.141 0.014 1.157 0.000 19.254" Properties=species:S:1:pos:R:3 pbc="T T T"
K 5.956 5.746 14.469
K 2.833 0.394 4.828
Li 5.956 2.270 14.469
Li 2.833 3.871 4.828
Lu 6.198 4.337 18.689
Lu 2.591 1.804 0.608
Lu 5.714 4.337 10.249
Lu 3.075 1.804 9.048
Mo 6.230 0.762 17.523
Mo 2.559 5.378 1.774
Mo 5.682 0.762 11.415
Mo 3.107 5.378 7.882
Mo 3.587 3.131 16.478
Mo 5.202 3.010 2.819
Mo 3.236 3.131 12.432
Mo 5.553 3.010 6.865
O 1.974 2.081 18.478
O 6.815 4.059 0.818
O 4.850 2.081 10.431
O 3.939 4.059 8.866
O 2.803 1.649 15.997
O 5.986 4.491 3.300
O 4.021 1.649 12.912
O 4.768 4.491 6.384
O 1.974 0.231 10.326
O 6.815 5.910 8.971
O 4.850 0.231 18.583
O 3.940 5.910 0.714
O 2.236 2.898 10.896
O 6.553 3.243 8.401
O 4.588 2.898 18.014
O 4.201 3.243 1.283
O 1.373 1.097 12.902
O 7.416 5.043 6.395
O 5.450 1.097 16.008
O 3.339 5.043 3.289
O 1.609 0.639 7.705
O 7.180 5.501 11.591
O 4.057 0.639 1.950
O 4.732 5.501 17.347
O 7.347 4.275 16.814
O 1.442 1.866 2.483
O 4.564 4.275 12.124
O 4.225 1.866 7.172
O 7.305 3.621 13.769
O 1.485 2.520 5.528
O 4.607 3.621 15.169
O 4.182 2.520 4.128
```

Computed properties:
The value obtained for the uncorrected formation energy is -58.98 eV per formula unit. Its space-group type is C2/c (15). Its density of states at the Fermi level is 0.000 states/eV/atom.

=====

5.
Computed, not measured: crystalline K2LiMg at its relaxed geometry at the GGA-PBEsol level of DFT.

Structure (extended XYZ):
```
4
Lattice="-0.020 -3.806 -1.403 3.484 -2.043 -0.372 -0.042 -5.984 10.368" Properties=species:S:1:pos:R:3 pbc="T T T"
K 3.410 -6.030 -1.282
K 2.622 -8.688 5.939
Li 1.766 -5.731 3.793
Mg 0.799 -3.149 2.665
```

Computed properties:
The value obtained for the formation energy is 0.214 eV/atom. Its space-group type is R3m (160). Its density of states at the Fermi level is 0.605 states/eV/atom.

=====

6.
Computed, not measured: crystalline KLiMg2 at its relaxed geometry at the GGA-PBEsol level of DFT.

Structure (extended XYZ):
```
4
Lattice="-2.922 -0.867 1.885 -1.096 -2.121 -2.674 4.395 -6.873 3.650" Properties=species:S:1:pos:R:3 pbc="T T T"
K -2.009 -1.494 -0.394
Li 0.189 -4.930 1.431
Mg 2.972 -4.648 2.468
Mg 1.423 -2.225 1.182
```

Computed properties:
The value obtained for the formation energy is 0.118 eV/atom. Its space-group type is P4/mmm (123). Its density of states at the Fermi level is 0.477 states/eV/atom.

=====

7.
Computed, not measured: crystalline KLiMg2 at its relaxed geometry at the GGA-PBEsol level of DFT.

Structure (extended XYZ):
```
8
Lattice="5.630 0.000 0.000 0.000 5.630 0.000 -2.815 -2.815 10.283" Properties=species:S:1:pos:R:3 pbc="T T T"
K 0.000 2.815 5.142
K 0.000 0.000 0.000
Mg 2.654 4.222 2.571
Mg 2.976 1.407 2.571
Mg -1.407 -0.161 7.713
Mg 1.407 0.161 7.713
Li 2.815 0.000 5.142
Li 2.815 2.815 0.000
```

Computed properties:
The value obtained for the formation energy is 0.362 eV/atom. Its space-group type is I-42d (122). Its density of states at the Fermi level is 0.575 states/eV/atom.

=====

8.
Computed, not measured: crystalline KLiMnO2 at its relaxed geometry at the GGA-PBEsol level of DFT.

Structure (extended XYZ):
```
10
Lattice="-2.145 -2.478 -0.945 2.788 -3.369 -3.649 2.109 -5.792 4.245" Properties=species:S:1:pos:R:3 pbc="T T T"
K 1.294 -3.572 0.272
K 1.457 -8.067 -0.621
Li 2.307 -7.580 2.328
Li 0.444 -4.058 -2.677
Mn 0.882 -6.511 -3.395
Mn 1.869 -5.128 3.046
O 1.017 -6.170 1.558
O 1.735 -5.469 -1.907
O 3.711 -8.353 1.168
O -0.960 -3.286 -1.517
```

Computed properties:
The value obtained for the uncorrected formation energy is -7.12 eV per formula unit. Its space-group type is C2/m (12). Its density of states at the Fermi level is 0.033 states/eV/atom.

=====

9.
Computed, not measured: crystalline KLiMnO2 at its relaxed geometry at the GGA-PBEsol level of DFT.

Structure (extended XYZ):
```
20
Lattice="6.295 -0.033 0.000 -0.157 6.294 0.000 0.000 0.000 6.796" Properties=species:S:1:pos:R:3 pbc="T T T"
K 3.148 -0.017 0.000
K -0.079 3.147 3.398
K 0.000 0.000 1.699
K 0.000 0.000 5.097
Li 2.164 4.017 1.699
Li 3.974 2.243 5.097
Li 2.164 4.017 5.097
Li 3.974 2.243 1.699
Mn 2.335 1.059 3.398
Mn 5.125 3.905 0.000
Mn 1.013 2.355 0.000
Mn 3.804 5.201 3.398
O 1.984 2.023 1.699
O 1.984 2.023 5.097
O 4.154 4.237 5.097
O 4.154 4.237 1.699
O 4.371 0.985 3.398
O 0.899 4.389 0.000
O 5.240 1.871 0.000
O 1.767 5.275 3.398
```

Computed properties:
The value obtained for the uncorrected formation energy is -6.98 eV per formula unit. Its space-group type is Cccm (66). Its density of states at the Fermi level is 0.012 states/eV/atom.

=====

10.
Computed, not measured: crystalline K8Li9Mn4O16 at its relaxed geometry at the GGA-PBEsol level of DFT.

Structure (extended XYZ):
```
37
Lattice="5.483 0.058 -0.030 0.146 8.512 0.122 2.010 0.338 10.346" Properties=species:S:1:pos:R:3 pbc="T T T"
K 6.427 0.553 8.676
K 5.574 2.560 4.146
K 5.102 4.164 6.760
K 3.931 2.168 9.409
K 3.637 6.827 1.013
K 2.584 4.496 3.596
K 2.053 6.209 6.207
K 1.262 8.560 1.810
Li 5.790 4.728 9.682
Li 5.521 0.254 5.894
Li 5.347 4.874 2.165
Li 5.033 6.520 8.231
Li 3.874 0.527 3.067
Li 3.730 8.346 7.299
Li 2.289 4.195 8.366
Li 2.080 8.506 4.541
Li 1.823 4.263 0.766
Mn 4.605 2.623 0.861
Mn 4.771 6.885 4.504
Mn 2.831 1.935 5.950
Mn 2.889 6.434 9.634
O 6.818 6.020 8.757
O 6.664 3.012 9.425
O 5.636 8.470 4.117
O 5.254 5.185 4.169
O 4.869 6.978 6.375
O 4.382 1.600 6.760
O 4.014 0.967 1.092
O 3.953 4.950 9.094
O 3.727 4.167 1.266
O 3.916 7.893 9.225
O 3.248 7.282 3.622
O 2.802 1.753 4.210
O 2.451 3.566 6.523
O 1.937 0.370 6.301
O 0.927 6.042 1.068
O 0.639 3.033 1.650
```

Computed properties:
The value obtained for the uncorrected formation energy is -62.09 eV per formula unit. Its space-group type is P1 (1). Its density of states at the Fermi level is 0.283 states/eV/atom.

=====

11.
Computed, not measured: crystalline K11LiMn4O16 at its relaxed geometry at the GGA-PBEsol level of DFT.

Structure (extended XYZ):
```
32
Lattice="-4.868 -5.606 -2.564 3.387 -5.162 4.855 -4.870 7.458 4.973" Properties=species:S:1:pos:R:3 pbc="T T T"
K -3.123 -4.503 3.745
K 1.694 -2.581 2.428
K -1.112 -1.544 5.487
K -3.791 4.822 3.930
K 0.383 -4.742 4.885
K -3.228 1.193 3.520
K -2.434 -2.803 -1.282
K -4.608 -5.011 0.400
K -4.686 -1.689 5.315
K -5.239 -1.766 1.778
K -0.740 -5.384 1.146
Li 0.000 0.000 0.000
Mn -6.189 1.444 2.788
Mn -2.511 -7.459 3.241
Mn -1.797 -2.263 2.135
Mn -2.205 1.659 6.367
O -5.628 -4.318 2.994
O -0.910 -1.264 1.088
O -5.799 0.211 3.882
O -3.259 0.348 6.164
O -2.127 -4.130 6.141
O -2.894 3.002 5.599
O -3.250 -6.627 1.963
O -1.951 1.974 8.015
O -2.787 -1.369 3.183
O -1.971 -8.985 2.731
O -2.795 -3.315 1.258
O -2.159 3.198 2.211
O -5.434 2.866 3.317
O -7.870 1.656 2.696
O -1.215 -6.518 3.792
O -0.759 -3.206 3.087
```

Computed properties:
The value obtained for the uncorrected formation energy is -55.12 eV per formula unit. Its space-group type is I-42m (121).

=====

12.
Computed, not measured: crystalline K4Li3Mn2O8 at its relaxed geometry at the GGA-PBEsol level of DFT.

Structure (extended XYZ):
```
34
Lattice="5.536 0.000 0.148 0.000 8.401 0.000 -1.898 0.000 10.347" Properties=species:S:1:pos:R:3 pbc="T T T"
K 4.187 6.633 1.762
K 3.139 8.001 6.828
K 3.360 1.453 3.782
K 1.320 0.400 1.581
K 2.017 4.886 8.923
K 0.470 1.768 6.862
K 0.198 3.515 3.676
K -0.356 6.948 8.882
Li 3.743 2.749 0.848
Li 3.682 6.109 4.583
Li 3.469 2.562 8.402
Li 1.650 5.839 3.154
Li 0.026 5.653 5.948
Li -0.035 2.292 9.683
Mn 2.624 0.661 9.885
Mn 2.778 4.091 5.853
Mn 0.805 7.740 4.637
Mn 0.959 4.311 0.605
O 4.891 4.195 1.245
O 4.174 0.919 1.228
O 3.656 5.411 6.473
O 3.403 2.594 6.378
O 2.859 4.304 4.159
O 2.449 7.417 3.929
O 2.425 7.428 9.339
O 1.837 2.991 1.225
O 1.803 2.188 9.286
O 1.584 5.808 1.130
O 1.174 4.207 6.345
O 0.457 7.483 6.328
O 0.606 0.973 4.091
O -0.016 6.213 4.038
O -0.858 4.098 9.258
O -1.268 0.984 9.029
```

Computed properties:
The value obtained for the uncorrected formation energy is -29.15 eV per formula unit. Its space-group type is Pc (7). Its density of states at the Fermi level is 0.105 states/eV/atom.

=====

13.
Computed, not measured: crystalline KLi2MnPd at its relaxed geometry at the GGA-PBEsol level of DFT.

Structure (extended XYZ):
```
5
Lattice="4.848 0.000 0.000 0.000 4.848 0.000 0.000 0.000 5.752" Properties=species:S:1:pos:R:3 pbc="T T T"
K 0.000 0.000 2.876
Mn 0.000 0.000 0.000
Pd 2.424 2.424 2.876
Li 0.000 2.424 0.000
Li 2.424 0.000 0.000
```

Computed properties:
The value obtained for the formation energy is 1.131 eV/atom. Its space-group type is P4/mmm (123). Its density of states at the Fermi level is 0.852 states/eV/atom.

=====

14.
Computed, not measured: crystalline KLiY2Mn at its relaxed geometry at the GGA-PBEsol level of DFT.

Structure (extended XYZ):
```
5
Lattice="-1.419 -3.914 3.033 -1.248 -2.771 -4.159 5.768 -2.264 -0.223" Properties=species:S:1:pos:R:3 pbc="T T T"
Y -0.624 -1.385 -2.080
Y -0.710 -1.957 1.517
K 2.884 -1.132 -0.111
Mn 0.000 0.000 0.000
Li 1.551 -4.474 -0.674
```

Computed properties:
The value obtained for the formation energy is 0.646 eV/atom. Its space-group type is P4/mmm (123). Its density of states at the Fermi level is 0.710 states/eV/atom.

=====

15.
Computed, not measured: crystalline KLiMo2 at its relaxed geometry at the GGA-PBEsol level of DFT.

Structure (extended XYZ):
```
4
Lattice="2.959 0.000 0.000 0.000 4.366 0.000 0.000 0.000 5.763" Properties=species:S:1:pos:R:3 pbc="T T T"
K 1.480 0.000 2.881
Li 0.000 2.183 2.881
Mo 0.000 0.000 0.000
Mo 1.480 2.183 0.000
```

Computed properties:
As for the distance to the lowest polymorph of the same formula: 9 meV/atom. The value obtained for the formation energy is 1.113 eV/atom. Its space-group type is Pmmm (47). Its density of states at the Fermi level is 0.969 states/eV/atom.

=====

16.
Computed, not measured: crystalline KLiMo3 at its relaxed geometry at the GGA-PBEsol level of DFT.

Structure (extended XYZ):
```
5
Lattice="-0.037 0.453 4.419 -4.001 -1.924 0.164 1.931 -3.979 0.424" Properties=species:S:1:pos:R:3 pbc="T T T"
Mo -2.000 -0.962 0.082
Mo 0.965 -1.989 0.212
Mo -0.018 0.227 2.210
K 0.000 0.000 0.000
Li -1.053 -2.725 2.504
```

Computed properties:
The value obtained for the formation energy is 3.004 eV/atom. Its space-group type is Pm-3m (221). Its density of states at the Fermi level is 0.751 states/eV/atom.

=====

17.
Computed, not measured: crystalline KLi2Mo at its relaxed geometry at the GGA-PBEsol level of DFT.

Structure (extended XYZ):
```
8
Lattice="-3.551 4.878 2.610 3.567 -3.884 3.926 4.422 3.020 -3.814" Properties=species:S:1:pos:R:3 pbc="T T T"
Mo 0.000 0.000 0.000
Mo 3.999 -0.184 1.690
K 0.008 0.497 3.268
K 0.440 4.198 1.032
Li 2.252 2.627 3.774
Li 2.190 1.635 0.582
Li 2.036 -1.845 2.783
Li 2.398 5.610 -1.695
```

Computed properties:
As for the distance to the lowest polymorph of the same formula: 493 meV/atom. The value obtained for the formation energy is 1.312 eV/atom. Its space-group type is I-42d (122). Its density of states at the Fermi level is 0.680 states/eV/atom.

=====

18.
Computed, not measured: crystalline KLiMo2 at its relaxed geometry at the GGA-PBEsol level of DFT.

Structure (extended XYZ):
```
4
Lattice="2.654 -0.001 0.000 -0.949 4.883 0.000 0.000 0.000 5.764" Properties=species:S:1:pos:R:3 pbc="T T T"
K -0.475 2.442 2.882
Li 1.327 0.000 2.882
Mo 0.460 1.225 0.000
Mo 1.244 3.657 0.000
```

Computed properties:
As for the distance to the lowest polymorph of the same formula: 0 meV/atom. The value obtained for the formation energy is 1.104 eV/atom. Its space-group type is P2/m (10). Its density of states at the Fermi level is 0.967 states/eV/atom.

=====

19.
Computed, not measured: crystalline KLi2Mo at its relaxed geometry at the GGA-PBEsol level of DFT.

Structure (extended XYZ):
```
4
Lattice="-0.738 1.910 1.629 2.017 -2.106 3.383 6.362 3.383 -1.687" Properties=species:S:1:pos:R:3 pbc="T T T"
K 3.820 1.594 1.663
Li 4.574 4.682 0.187
Li 1.049 0.611 -0.245
Mo 0.639 -0.098 2.506
```

Computed properties:
As for the distance to the lowest polymorph of the same formula: 0 meV/atom. The value obtained for the formation energy is 0.819 eV/atom. Its space-group type is P2/m (10). Its density of states at the Fermi level is 0.915 states/eV/atom.

=====

20.
Computed, not measured: crystalline KLi3Mo at its relaxed geometry at the GGA-PBEsol level of DFT.

Structure (extended XYZ):
```
5
Lattice="4.858 0.000 0.000 0.000 4.858 0.000 0.000 0.000 4.858" Properties=species:S:1:pos:R:3 pbc="T T T"
Mo 2.429 2.429 2.429
K 0.000 0.000 0.000
Li 0.000 2.429 0.000
Li 0.000 0.000 2.429
Li 2.429 0.000 0.000
```

Computed properties:
The value obtained for the formation energy is 1.514 eV/atom. Its space-group type is Pm-3m (221). Its density of states at the Fermi level is 0.625 states/eV/atom.